1.
## NaLa3F (GGA-PBE)

Data for crystalline NaLa3F at its relaxed geometry.

Cell and atoms, written as CIF:
```
data_NaLa3F
_symmetry_space_group_name_H-M 'P m -3 m'
_symmetry_Int_Tables_number 221
_symmetry_space_group_name_Hall '-P 4 2 3'
_cell_length_a 5.2804
_cell_length_b 5.2804
_cell_length_c 5.2804
_cell_angle_alpha 90.00
_cell_angle_beta 90.00
_cell_angle_gamma 90.00
loop_
_atom_site_label
_atom_site_fract_x
_atom_site_fract_y
_atom_site_fract_z
Na1 0.0000 0.0000 0.0000
La1 0.0000 0.5000 0.5000
F1 0.5000 0.5000 0.5000
```

Volume   147.23 Å³/f.u.
E_tot   -0.1620 Ha/atom
N(E_F)   1.077 states/eV per atom
Formation energy without anion corrections   -813 meV per atom


2.
## Na3LaF (GGA-PBE)

Data for crystalline Na3LaF at its relaxed geometry.

Cell and atoms, written as CIF:
```
data_Na3LaF
_symmetry_space_group_name_H-M 'P m -3 m'
_symmetry_Int_Tables_number 221
_symmetry_space_group_name_Hall '-P 4 2 3'
_cell_length_a 5.1400
_cell_length_b 5.1400
_cell_length_c 5.1400
_cell_angle_alpha 90.00
_cell_angle_beta 90.00
_cell_angle_gamma 90.00
loop_
_atom_site_label
_atom_site_fract_x
_atom_site_fract_y
_atom_site_fract_z
Na1 0.0000 0.0000 0.5000
La1 0.5000 0.5000 0.5000
F1 0.0000 0.0000 0.0000
```

Volume   135.80 Å³/f.u.
E_tot   -0.0993 Ha/atom
N(E_F)   0.923 states/eV per atom
Formation energy without anion corrections   -552 meV per atom